! PBE+U MoSeClO2, relaxed; values from VASP
! DOS(E_F) = 2.36 states/eV per cell
! Energy = -22.63 eV for the cell shown
&SYSTEM
  ibrav = 0, nat = 5, ntyp = 4
/
ATOMIC_SPECIES
Mo 95.94 Mo.upf
Se 78.96 Se.upf
Cl 35.45 Cl.upf
O 16.00 O.upf
CELL_PARAMETERS angstrom
3.854 0.000 0.000
0.000 3.854 0.000
0.000 0.000 5.531
ATOMIC_POSITIONS crystal
Mo 0.000 0.000 0.000
Se 0.000 0.000 0.500
Cl 0.500 0.500 0.000
O 0.000 0.500 0.500
O 0.500 0.000 0.500